# Zr4FeSi | the Alexandria database | PBE-GGA | optimized geometry
data_Zr4FeSi
_cell_length_a 7.9175
_cell_length_b 7.9175
_cell_length_c 7.9175
_cell_angle_alpha 90.00
_cell_angle_beta 90.00
_cell_angle_gamma 90.00
_space_group_name_H-M_alt 'F -4 3 m'
_space_group_IT_number 216
_space_group_name_Hall 'F -4 2 3'
loop_
_atom_site_label
_atom_site_type_symbol
_atom_site_fract_x
_atom_site_fract_y
_atom_site_fract_z
_atom_site_occupancy
Zr1 Zr 0.1247 0.1247 0.1247 1
Fe1 Fe 0.2500 0.2500 0.7500 1
Si1 Si 0.0000 0.0000 0.5000 1
# - calculated density (g/cm3) = 6.01
# - uncorrected energy (eV/atom) = -7.423
# - energy relative to the elements, uncorrected (eV/f.u.) = 3.54

=====

# Re2As | the Alexandria database | PBE-GGA | optimized geometry
data_Re2As
_cell_length_a 3.0124
_cell_length_b 3.0124
_cell_length_c 20.7312
_cell_angle_alpha 90.00
_cell_angle_beta 90.00
_cell_angle_gamma 90.00
_space_group_name_H-M_alt 'I 41/a m d'
_space_group_IT_number 141
loop_
_space_group_symop_operation_xyz
'x,y,z'
'-x,-y,-z'
'-y+1/4,x+3/4,z+1/4'
'y+1/4,-x+3/4,-z+1/4'
'-x+1/2,-y,z+1/2'
'x+1/2,y,-z+1/2'
'y+1/4,-x+1/4,z+3/4'
'-y+1/4,x+1/4,-z+3/4'
'x,-y,-z'
'-x,y,z'
'-y+1/4,-x+1/4,-z+3/4'
'y+1/4,x+1/4,z+3/4'
'-x+1/2,y,-z+1/2'
'x+1/2,-y,z+1/2'
'y+1/4,x+3/4,-z+1/4'
'-y+1/4,-x+3/4,z+1/4'
'x+1/2,y+1/2,z+1/2'
'-x+1/2,-y+1/2,-z+1/2'
'-y+3/4,x+1/4,z+3/4'
'y+3/4,-x+1/4,-z+3/4'
'-x,-y+1/2,z'
'x,y+1/2,-z'
'y+3/4,-x+3/4,z+1/4'
'-y+3/4,x+3/4,-z+1/4'
'x+1/2,-y+1/2,-z+1/2'
'-x+1/2,y+1/2,z+1/2'
'-y+3/4,-x+3/4,-z+1/4'
'y+3/4,x+3/4,z+1/4'
'-x,y+1/2,-z'
'x,-y+1/2,z'
'y+3/4,x+1/4,-z+3/4'
'-y+3/4,-x+1/4,z+3/4'
loop_
_atom_site_label
_atom_site_type_symbol
_atom_site_fract_x
_atom_site_fract_y
_atom_site_fract_z
_atom_site_occupancy
Re1 Re 0.0000 0.2500 0.3005 1
As1 As 0.0000 0.2500 0.8750 1
# - calculated density (g/cm3) = 15.79
# - calculated formation energy (eV/atom) = 0.587
# - uncorrected energy (eV/atom) = -9.261

=====

# TbPmSm2Y5 | the Alexandria database | PBE-GGA | optimized geometry
data_TbPmSm2Y5
_cell_length_a 8.7709
_cell_length_b 8.7709
_cell_length_c 15.4451
_cell_angle_alpha 90.00
_cell_angle_beta 90.00
_cell_angle_gamma 90.00
_space_group_name_H-M_alt 'I 4/m c m'
_space_group_IT_number 140
_space_group_name_Hall '-I 4 2c'
loop_
_atom_site_label
_atom_site_type_symbol
_atom_site_fract_x
_atom_site_fract_y
_atom_site_fract_z
_atom_site_occupancy
Tb1 Tb 0.0000 0.5000 0.2500 1
Pm1 Pm 0.0000 0.0000 0.2500 1
Sm1 Sm 0.1160 0.3840 0.0000 1
Y1 Y 0.0000 0.0000 0.0000 1
Y2 Y 0.2080 0.2920 0.3636 1
# - calculated density (g/cm3) = 5.87
# - calculated formation energy (eV/atom) = 0.255
# - uncorrected energy (eV/atom) = -5.427